(1)
VASP calculation (GGA-PBE) on an optimized crystal structure of BaTa2O7.

a = 6.159 Å, b = 6.159 Å, c = 3.972 Å
α = 90.00°, β = 90.00°, γ = 117.06°
Fractional positions:
Ba 0.000 0.000 0.000
Ta 0.302 0.698 0.500
Ta 0.698 0.302 0.500
O 0.056 0.340 0.500
O 0.291 0.709 0.000
O 0.340 0.056 0.500
O 0.500 0.500 0.500
O 0.660 0.944 0.500
O 0.709 0.291 0.000
O 0.944 0.660 0.500

Calculated values
DOS at the Fermi energy   5.667 states/eV per cell
Space group   Cmmm
ΔE_f (raw)   -2.491 eV/atom
Total energy   -8.52 eV/atom


(2)
VASP calculation (GGA-PBE) on an optimized crystal structure of Ba8Ta7O24.

a = 5.911 Å, b = 5.911 Å, c = 19.234 Å
α = 90.00°, β = 90.00°, γ = 120.00°
Fractional positions:
Ba 0.000 0.000 0.000
Ba 0.000 0.000 0.221
Ba 0.000 0.000 0.620
Ba 0.333 0.667 0.126
Ba 0.333 0.667 0.504
Ba 0.333 0.667 0.735
Ba 0.667 0.333 0.356
Ba 0.667 0.333 0.871
Ta 0.000 0.000 0.432
Ta 0.000 0.000 0.808
Ta 0.333 0.667 0.306
Ta 0.333 0.667 0.930
Ta 0.667 0.333 0.062
Ta 0.667 0.333 0.554
Ta 0.667 0.333 0.689
O 0.006 0.503 0.987
O 0.021 0.511 0.256
O 0.165 0.329 0.380
O 0.165 0.835 0.380
O 0.168 0.336 0.867
O 0.168 0.832 0.867
O 0.326 0.163 0.498
O 0.328 0.164 0.747
O 0.342 0.171 0.107
O 0.489 0.511 0.256
O 0.489 0.979 0.256
O 0.497 0.503 0.987
O 0.497 0.994 0.987
O 0.507 0.013 0.621
O 0.507 0.493 0.621
O 0.664 0.832 0.867
O 0.671 0.835 0.380
O 0.829 0.171 0.107
O 0.829 0.658 0.107
O 0.836 0.164 0.747
O 0.836 0.672 0.747
O 0.837 0.163 0.498
O 0.837 0.674 0.498
O 0.987 0.493 0.621

Calculated values
DOS at the Fermi energy   4.354 states/eV per cell
Space group   P3m1
ΔE_f (raw)   -2.917 eV/atom
Total energy   -8.49 eV/atom


(3)
VASP calculation (GGA-PBE) on an optimized crystal structure of Ba2TaO.

a = 7.252 Å, b = 7.252 Å, c = 7.252 Å
α = 114.11°, β = 114.11°, γ = 100.54°
Fractional positions:
Ba 0.016 0.625 0.891
Ba 0.375 0.266 0.391
Ba 0.734 0.125 0.109
Ba 0.875 0.984 0.609
Ta 0.250 0.750 0.500
Ta 0.500 0.500 0.000
O 0.000 0.000 0.000
O 0.750 0.250 0.500

Calculated values
DOS at the Fermi energy   9.323 states/eV per cell
Space group   I-42d
ΔE_f (raw)   0.016 eV/atom
Total energy   -5.15 eV/atom


(4)
VASP calculation (GGA-PBE) on an optimized crystal structure of Ba2TaO5.

a = 6.077 Å, b = 6.077 Å, c = 3.988 Å
α = 90.00°, β = 90.00°, γ = 90.00°
Fractional positions:
Ba 0.000 0.500 0.000
Ba 0.500 0.000 0.000
Ta 0.000 0.000 0.500
O 0.000 0.000 0.000
O 0.231 0.231 0.500
O 0.231 0.769 0.500
O 0.769 0.231 0.500
O 0.769 0.769 0.500

Calculated values
DOS at the Fermi energy   5.721 states/eV per cell
Space group   P4/mmm
Offset from the most stable computed form   92 meV per atom
ΔE_f (raw)   -2.603 eV/atom
Total energy   -7.66 eV/atom


(5)
VASP calculation (GGA-PBE) on an optimized crystal structure of BaTa4O14.

a = 7.526 Å, b = 7.526 Å, c = 7.526 Å
α = 60.39°, β = 60.39°, γ = 60.39°
Fractional positions:
Ba 0.000 0.000 0.000
Ta 0.000 0.500 0.500
Ta 0.500 0.000 0.500
Ta 0.500 0.500 0.000
Ta 0.500 0.500 0.500
O 0.165 0.165 0.165
O 0.190 0.561 0.561
O 0.191 0.191 0.567
O 0.191 0.567 0.191
O 0.433 0.809 0.809
O 0.439 0.439 0.810
O 0.439 0.810 0.439
O 0.561 0.190 0.561
O 0.561 0.561 0.190
O 0.567 0.191 0.191
O 0.809 0.433 0.809
O 0.809 0.809 0.433
O 0.810 0.439 0.439
O 0.835 0.835 0.835

Calculated values
DOS at the Fermi energy   11.871 states/eV per cell
Space group   R-3m
ΔE_f (raw)   -2.056 eV/atom
Total energy   -8.31 eV/atom


(6)
VASP calculation (GGA-PBE) on an optimized crystal structure of Ba3Ta5O15.

a = 12.770 Å, b = 12.770 Å, c = 4.014 Å
α = 90.00°, β = 90.00°, γ = 90.00°
Fractional positions:
Ba 0.000 0.000 0.000
Ba 0.169 0.331 0.000
Ba 0.331 0.831 0.000
Ba 0.500 0.500 0.000
Ba 0.669 0.169 0.000
Ba 0.831 0.669 0.000
Ta 0.000 0.500 0.500
Ta 0.076 0.787 0.500
Ta 0.213 0.076 0.500
Ta 0.287 0.576 0.500
Ta 0.424 0.287 0.500
Ta 0.500 0.000 0.500
Ta 0.576 0.713 0.500
Ta 0.713 0.424 0.500
Ta 0.787 0.924 0.500
Ta 0.924 0.213 0.500
O 0.000 0.500 0.000
O 0.006 0.344 0.500
O 0.068 0.141 0.500
O 0.078 0.792 0.000
O 0.141 0.932 0.500
O 0.156 0.494 0.500
O 0.208 0.078 0.000
O 0.218 0.718 0.500
O 0.282 0.218 0.500
O 0.292 0.578 0.000
O 0.344 0.994 0.500
O 0.359 0.432 0.500
O 0.422 0.292 0.000
O 0.432 0.641 0.500
O 0.494 0.844 0.500
O 0.500 0.000 0.000
O 0.506 0.156 0.500
O 0.568 0.359 0.500
O 0.578 0.708 0.000
O 0.641 0.568 0.500
O 0.656 0.006 0.500
O 0.708 0.422 0.000
O 0.718 0.782 0.500
O 0.782 0.282 0.500
O 0.792 0.922 0.000
O 0.844 0.506 0.500
O 0.859 0.068 0.500
O 0.922 0.208 0.000
O 0.932 0.859 0.500
O 0.994 0.656 0.500

Calculated values
DOS at the Fermi energy   2.684 states/eV per cell
Space group   P4/mbm
ΔE_f (raw)   -2.982 eV/atom
Total energy   -9.04 eV/atom


(7)
VASP calculation (GGA-PBE) on an optimized crystal structure of BaTa6O12.

a = 6.359 Å, b = 6.359 Å, c = 6.359 Å
α = 104.41°, β = 104.41°, γ = 104.41°
Fractional positions:
Ba 0.000 0.000 0.000
Ta 0.231 0.231 0.619
Ta 0.231 0.619 0.231
Ta 0.381 0.769 0.769
Ta 0.619 0.231 0.231
Ta 0.769 0.381 0.769
Ta 0.769 0.769 0.381
O 0.130 0.500 0.870
O 0.130 0.870 0.500
O 0.190 0.474 0.474
O 0.474 0.190 0.474
O 0.474 0.474 0.190
O 0.500 0.130 0.870
O 0.500 0.870 0.130
O 0.526 0.526 0.810
O 0.526 0.810 0.526
O 0.810 0.526 0.526
O 0.870 0.130 0.500
O 0.870 0.500 0.130

Calculated values
DOS at the Fermi energy   10.761 states/eV per cell
Space group   R-3m
ΔE_f (raw)   -2.167 eV/atom
Total energy   -9.14 eV/atom


(8)
VASP calculation (GGA-PBE) on an optimized crystal structure of Ba4Ta2O9.

a = 6.016 Å, b = 6.016 Å, c = 16.429 Å
α = 90.44°, β = 90.44°, γ = 61.11°
Fractional positions:
Ba 0.000 0.000 0.000
Ba 0.000 0.000 0.500
Ba 0.012 0.988 0.750
Ba 0.321 0.348 0.382
Ba 0.348 0.321 0.882
Ba 0.652 0.679 0.118
Ba 0.679 0.652 0.618
Ba 0.988 0.012 0.250
Ta 0.321 0.343 0.168
Ta 0.343 0.321 0.668
Ta 0.657 0.679 0.332
Ta 0.679 0.657 0.832
O 0.029 0.453 0.744
O 0.094 0.255 0.113
O 0.172 0.599 0.596
O 0.189 0.676 0.120
O 0.255 0.094 0.613
O 0.324 0.811 0.380
O 0.401 0.828 0.904
O 0.453 0.029 0.244
O 0.476 0.524 0.750
O 0.524 0.476 0.250
O 0.547 0.971 0.756
O 0.599 0.172 0.096
O 0.676 0.189 0.620
O 0.745 0.906 0.387
O 0.811 0.324 0.880
O 0.828 0.401 0.404
O 0.906 0.745 0.887
O 0.971 0.547 0.256

Calculated values
DOS at the Fermi energy   0.000 states/eV per cell
Space group   C2/c
Offset from the most stable computed form   31 meV per atom
ΔE_f (raw)   -2.913 eV/atom
Total energy   -7.98 eV/atom